(A)
The following is a PBE calculation of a relaxed structure of Sr2ZnF8, from Alexandria via LeMat-Bulk.

Results
Its crystal system is orthorhombic. The space-group type is Immm.

a = 7.695 Å, b = 7.695 Å, c = 7.695 Å
α = 146.92°, β = 143.24°, γ = 50.28°
Fractional coordinates of all 11 atoms:
1 Sr 0.163 0.163 0.000
2 Sr 0.837 0.837 0.000
3 Zn 0.500 0.500 0.000
4 F 0.143 0.392 0.751
5 F 0.261 0.000 0.261
6 F 0.273 0.773 0.500
7 F 0.360 0.608 0.751
8 F 0.640 0.392 0.249
9 F 0.727 0.227 0.500
10 F 0.739 0.000 0.739
11 F 0.857 0.608 0.249

(B)
The following is a PBE calculation of a relaxed structure of Sr2ZnF8, from Alexandria via LeMat-Bulk.

Results
Its crystal system is triclinic. The space-group type is P-1.

a = 4.419 Å, b = 5.644 Å, c = 7.532 Å
α = 80.15°, β = 89.50°, γ = 68.33°
Fractional coordinates of all 11 atoms:
1 Sr 0.241 0.012 0.224
2 Sr 0.759 0.988 0.776
3 Zn 0.000 0.500 0.500
4 F 0.162 0.521 0.746
5 F 0.202 0.126 0.553
6 F 0.300 0.904 0.921
7 F 0.336 0.529 0.330
8 F 0.664 0.471 0.670
9 F 0.700 0.096 0.079
10 F 0.798 0.874 0.447
11 F 0.838 0.479 0.254

Energetically preferred structure: (A) | next structure: +0.6 kJ/mol of atoms

(A)
The following is a PBE calculation of a relaxed structure of SrZn2F, from Alexandria via LeMat-Bulk.

Results
Its crystal system is tetragonal. The space-group type is I-42d.

a = 6.895 Å, b = 6.895 Å, c = 6.895 Å
α = 96.79°, β = 96.79°, γ = 139.76°
Fractional coordinates of all 8 atoms:
1 Sr 0.000 0.000 0.000
2 Sr 0.750 0.250 0.500
3 Zn 0.154 0.625 0.029
4 Zn 0.375 0.404 0.529
5 Zn 0.596 0.125 0.971
6 Zn 0.875 0.846 0.471
7 F 0.250 0.750 0.500
8 F 0.500 0.500 0.000

(B)
The following is a PBE calculation of a relaxed structure of SrZn2F, from Alexandria via LeMat-Bulk.

Results
Its crystal system is cubic. The space-group type is Fm-3m.

a = 5.122 Å, b = 5.122 Å, c = 5.122 Å
α = 60.00°, β = 60.00°, γ = 60.00°
Fractional coordinates of all 4 atoms:
1 Sr 0.000 0.000 0.000
2 Zn 0.250 0.250 0.250
3 Zn 0.750 0.750 0.750
4 F 0.500 0.500 0.500

Energetically preferred structure: (A) | next structure: +56.0 kJ/mol of atoms

(A)
The following is a PBE calculation of a relaxed structure of SrZr3F, from Alexandria via LeMat-Bulk.

Results
Its crystal system is cubic. The space-group type is Pm-3m.

a = 4.834 Å, b = 4.834 Å, c = 4.834 Å
α = 90.00°, β = 90.00°, γ = 90.00°
Fractional coordinates of all 5 atoms:
1 Sr 0.000 0.000 0.000
2 Zr 0.000 0.500 0.500
3 Zr 0.500 0.000 0.500
4 Zr 0.500 0.500 0.000
5 F 0.500 0.500 0.500

(B)
The following is a PBE calculation of a relaxed structure of SrZr3F, from Alexandria via LeMat-Bulk.

Results
Its crystal system is cubic. The space-group type is Pm-3m.

a = 5.287 Å, b = 5.287 Å, c = 5.287 Å
α = 90.00°, β = 90.00°, γ = 90.00°
Fractional coordinates of all 5 atoms:
1 Sr 0.000 0.000 0.000
2 Zr 0.000 0.000 0.500
3 Zr 0.000 0.500 0.000
4 Zr 0.500 0.000 0.000
5 F 0.500 0.500 0.500

Energetically preferred structure: (A) | next structure: +196.4 kJ/mol of atoms

(A)
The following is a PBE calculation of a relaxed structure of TaTc3F, from Alexandria via LeMat-Bulk.

Results
Its crystal system is cubic. The space-group type is Pm-3m.

a = 4.893 Å, b = 4.893 Å, c = 4.893 Å
α = 90.00°, β = 90.00°, γ = 90.00°
Fractional coordinates of all 5 atoms:
1 Ta 0.000 0.000 0.000
2 Tc 0.000 0.000 0.500
3 Tc 0.000 0.500 0.000
4 Tc 0.500 0.000 0.000
5 F 0.500 0.500 0.500

(B)
The following is a PBE calculation of a relaxed structure of TaTc3F, from Alexandria via LeMat-Bulk.

Results
Its crystal system is cubic. The space-group type is Pm-3m.

a = 4.171 Å, b = 4.171 Å, c = 4.171 Å
α = 90.00°, β = 90.00°, γ = 90.00°
Fractional coordinates of all 5 atoms:
1 Ta 0.000 0.000 0.000
2 Tc 0.000 0.500 0.500
3 Tc 0.500 0.000 0.500
4 Tc 0.500 0.500 0.000
5 F 0.500 0.500 0.500

Energetically preferred structure: (B) | next structure: +125.9 kJ/mol of atoms

(A)
The following is a PBE calculation of a relaxed structure of TaTc2F, from Alexandria via LeMat-Bulk.

Results
Its crystal system is cubic. The space-group type is Fm-3m.

a = 4.379 Å, b = 4.379 Å, c = 4.379 Å
α = 60.00°, β = 60.00°, γ = 60.00°
Fractional coordinates of all 4 atoms:
1 Ta 0.000 0.000 0.000
2 Tc 0.250 0.250 0.250
3 Tc 0.750 0.750 0.750
4 F 0.500 0.500 0.500

(B)
The following is a PBE calculation of a relaxed structure of TaTc2F, from Alexandria via LeMat-Bulk.

Results
Its crystal system is tetragonal. The space-group type is I-42d.

a = 5.431 Å, b = 5.431 Å, c = 5.431 Å
α = 102.55°, β = 102.55°, γ = 124.42°
Fractional coordinates of all 8 atoms:
1 Ta 0.000 0.000 0.000
2 Ta 0.750 0.250 0.500
3 Tc 0.177 0.625 0.052
4 Tc 0.375 0.427 0.552
5 Tc 0.573 0.125 0.948
6 Tc 0.875 0.823 0.448
7 F 0.250 0.750 0.500
8 F 0.500 0.500 0.000

Energetically preferred structure: (B) | next structure: +4.9 kJ/mol of atoms

(A)
The following is a PBE calculation of a relaxed structure of TaTe2F, from Alexandria via LeMat-Bulk.

Results
Its crystal system is tetragonal. The space-group type is I-42d.

a = 7.164 Å, b = 7.164 Å, c = 7.164 Å
α = 125.70°, β = 125.70°, γ = 80.38°
Fractional coordinates of all 8 atoms:
1 Ta 0.000 0.000 0.000
2 Ta 0.750 0.250 0.500
3 Te 0.116 0.625 0.991
4 Te 0.375 0.366 0.491
5 Te 0.634 0.125 0.009
6 Te 0.875 0.884 0.509
7 F 0.250 0.750 0.500
8 F 0.500 0.500 0.000

(B)
The following is a PBE calculation of a relaxed structure of TaTe2F, from Alexandria via LeMat-Bulk.

Results
Its crystal system is trigonal. The space-group type is R-3m.

a = 10.180 Å, b = 10.180 Å, c = 10.180 Å
α = 17.51°, β = 17.51°, γ = 17.51°
Fractional coordinates of all 4 atoms:
1 Ta 0.000 0.000 0.000
2 Te 0.095 0.095 0.095
3 Te 0.905 0.905 0.905
4 F 0.500 0.500 0.500

(C)
The following is a PBE calculation of a relaxed structure of TaTe2F, from Alexandria via LeMat-Bulk.

Results
Its crystal system is trigonal. The space-group type is R-3m.

a = 8.597 Å, b = 8.597 Å, c = 8.597 Å
α = 25.04°, β = 25.04°, γ = 25.04°
Fractional coordinates of all 4 atoms:
1 Ta 0.000 0.000 0.000
2 Te 0.405 0.405 0.405
3 Te 0.595 0.595 0.595
4 F 0.500 0.500 0.500

(D)
The following is a PBE calculation of a relaxed structure of TaTe2F, from Alexandria via LeMat-Bulk.

Results
Its crystal system is cubic. The space-group type is Fm-3m.

a = 4.840 Å, b = 4.840 Å, c = 4.840 Å
α = 60.00°, β = 60.00°, γ = 60.00°
Fractional coordinates of all 4 atoms:
1 Ta 0.000 0.000 0.000
2 Te 0.250 0.250 0.250
3 Te 0.750 0.750 0.750
4 F 0.500 0.500 0.500

Energetically preferred structure: (C) | next structure: +22.6 kJ/mol of atoms

(A)
The following is a PBE calculation of a relaxed structure of TaTeF3, from Alexandria via LeMat-Bulk.

Results
Its crystal system is cubic. The space-group type is Pm-3m.

a = 4.268 Å, b = 4.268 Å, c = 4.268 Å
α = 90.00°, β = 90.00°, γ = 90.00°
Fractional coordinates of all 5 atoms:
1 Ta 0.000 0.000 0.000
2 Te 0.500 0.500 0.500
3 F 0.000 0.000 0.500
4 F 0.000 0.500 0.000
5 F 0.500 0.000 0.000

(B)
The following is a PBE calculation of a relaxed structure of TaTeF3, from Alexandria via LeMat-Bulk.

Results
Its crystal system is cubic. The space-group type is Pm-3m.

a = 4.629 Å, b = 4.629 Å, c = 4.629 Å
α = 90.00°, β = 90.00°, γ = 90.00°
Fractional coordinates of all 5 atoms:
1 Ta 0.000 0.000 0.000
2 Te 0.500 0.500 0.500
3 F 0.000 0.500 0.500
4 F 0.500 0.000 0.500
5 F 0.500 0.500 0.000

Energetically preferred structure: (A) | next structure: +140.7 kJ/mol of atoms

(A)
The following is a PBE calculation of a relaxed structure of TaTe3F, from Alexandria via LeMat-Bulk.

Results
Its crystal system is cubic. The space-group type is Pm-3m.

a = 4.872 Å, b = 4.872 Å, c = 4.872 Å
α = 90.00°, β = 90.00°, γ = 90.00°
Fractional coordinates of all 5 atoms:
1 Ta 0.000 0.000 0.000
2 Te 0.000 0.500 0.500
3 Te 0.500 0.000 0.500
4 Te 0.500 0.500 0.000
5 F 0.500 0.500 0.500

(B)
The following is a PBE calculation of a relaxed structure of TaTe3F, from Alexandria via LeMat-Bulk.

Results
Its crystal system is cubic. The space-group type is Pm-3m.

a = 5.304 Å, b = 5.304 Å, c = 5.304 Å
α = 90.00°, β = 90.00°, γ = 90.00°
Fractional coordinates of all 5 atoms:
1 Ta 0.000 0.000 0.000
2 Te 0.000 0.000 0.500
3 Te 0.000 0.500 0.000
4 Te 0.500 0.000 0.000
5 F 0.500 0.500 0.500

Energetically preferred structure: (B) | next structure: +61.5 kJ/mol of atoms

(A)
The following is a PBE calculation of a relaxed structure of Ta3TiF, from Alexandria via LeMat-Bulk.

Results
Its crystal system is cubic. The space-group type is Pm-3m.

a = 4.352 Å, b = 4.352 Å, c = 4.352 Å
α = 90.00°, β = 90.00°, γ = 90.00°
Fractional coordinates of all 5 atoms:
1 Ta 0.000 0.000 0.500
2 Ta 0.000 0.500 0.000
3 Ta 0.500 0.000 0.000
4 Ti 0.500 0.500 0.500
5 F 0.000 0.000 0.000

(B)
The following is a PBE calculation of a relaxed structure of Ta3TiF, from Alexandria via LeMat-Bulk.

Results
Its crystal system is cubic. The space-group type is Pm-3m.

a = 4.743 Å, b = 4.743 Å, c = 4.743 Å
α = 90.00°, β = 90.00°, γ = 90.00°
Fractional coordinates of all 5 atoms:
1 Ta 0.000 0.000 0.500
2 Ta 0.000 0.500 0.000
3 Ta 0.500 0.000 0.000
4 Ti 0.000 0.000 0.000
5 F 0.500 0.500 0.500

Energetically preferred structure: (A) | next structure: +137.2 kJ/mol of atoms

(A)
The following is a PBE calculation of a relaxed structure of TaTi3F, from Alexandria via LeMat-Bulk.

Results
Its crystal system is cubic. The space-group type is Pm-3m.

a = 4.899 Å, b = 4.899 Å, c = 4.899 Å
α = 90.00°, β = 90.00°, γ = 90.00°
Fractional coordinates of all 5 atoms:
1 Ta 0.000 0.000 0.000
2 Ti 0.000 0.000 0.500
3 Ti 0.000 0.500 0.000
4 Ti 0.500 0.000 0.000
5 F 0.500 0.500 0.500

(B)
The following is a PBE calculation of a relaxed structure of TaTi3F, from Alexandria via LeMat-Bulk.

Results
Its crystal system is cubic. The space-group type is Pm-3m.

a = 4.241 Å, b = 4.241 Å, c = 4.241 Å
α = 90.00°, β = 90.00°, γ = 90.00°
Fractional coordinates of all 5 atoms:
1 Ta 0.000 0.000 0.000
2 Ti 0.000 0.500 0.500
3 Ti 0.500 0.000 0.500
4 Ti 0.500 0.500 0.000
5 F 0.500 0.500 0.500

Energetically preferred structure: (B) | next structure: +146.8 kJ/mol of atoms

(A)
The following is a PBE calculation of a relaxed structure of TaTlF6, from Alexandria via LeMat-Bulk.

Results
Its crystal system is cubic. The space-group type is Fm-3m.

a = 6.731 Å, b = 6.731 Å, c = 6.731 Å
α = 60.00°, β = 60.00°, γ = 60.00°
Fractional coordinates of all 8 atoms:
1 Ta 0.000 0.000 0.000
2 Tl 0.500 0.500 0.500
3 F 0.203 0.203 0.797
4 F 0.203 0.797 0.203
5 F 0.203 0.797 0.797
6 F 0.797 0.203 0.203
7 F 0.797 0.203 0.797
8 F 0.797 0.797 0.203

(B)
The following is a PBE calculation of a relaxed structure of TaTlF6, from Alexandria via LeMat-Bulk.

Results
Its crystal system is monoclinic. The space-group type is C2/m.

a = 5.288 Å, b = 5.288 Å, c = 5.321 Å
α = 96.60°, β = 96.60°, γ = 96.85°
Fractional coordinates of all 8 atoms:
1 Ta 0.000 0.000 0.000
2 Tl 0.500 0.500 0.500
3 F 0.087 0.746 0.746
4 F 0.254 0.913 0.254
5 F 0.256 0.256 0.915
6 F 0.744 0.744 0.085
7 F 0.746 0.087 0.746
8 F 0.913 0.254 0.254

Energetically preferred structure: (A) | next structure: +1.2 kJ/mol of atoms

(A)
The following is a PBE calculation of a relaxed structure of TaTl3F, from Alexandria via LeMat-Bulk.

Results
Its crystal system is cubic. The space-group type is Pm-3m.

a = 5.561 Å, b = 5.561 Å, c = 5.561 Å
α = 90.00°, β = 90.00°, γ = 90.00°
Fractional coordinates of all 5 atoms:
1 Ta 0.000 0.000 0.000
2 Tl 0.000 0.000 0.500
3 Tl 0.000 0.500 0.000
4 Tl 0.500 0.000 0.000
5 F 0.500 0.500 0.500

(B)
The following is a PBE calculation of a relaxed structure of TaTl3F, from Alexandria via LeMat-Bulk.

Results
Its crystal system is cubic. The space-group type is Pm-3m.

a = 4.888 Å, b = 4.888 Å, c = 4.888 Å
α = 90.00°, β = 90.00°, γ = 90.00°
Fractional coordinates of all 5 atoms:
1 Ta 0.000 0.000 0.000
2 Tl 0.000 0.500 0.500
3 Tl 0.500 0.000 0.500
4 Tl 0.500 0.500 0.000
5 F 0.500 0.500 0.500

Energetically preferred structure: (B) | next structure: +13.0 kJ/mol of atoms